1.
The following is a DFT calculation (PBE) of crystalline YHf2Ti2 at its relaxed geometry.

```
YHf2Ti2
1.0
-3.362 3.307 -6.706
-1.047 -7.488 -3.168
-3.007 -0.180 1.419
Hf Y Ti
4 2 4
direct
0.128 0.372 0.000 Hf
0.872 0.628 0.000 Hf
0.628 0.128 0.000 Hf
0.372 0.872 0.000 Hf
0.000 0.000 0.000 Y
0.500 0.500 0.000 Y
0.164 0.664 0.500 Ti
0.836 0.336 0.500 Ti
0.664 0.836 0.500 Ti
0.336 0.164 0.500 Ti
```

Output
E_form, meV/atom: 185
DOS at the Fermi energy, states/eV per atom: 1.811

***

2.
The following is a DFT calculation (PBE) of crystalline YHfTi2 at its relaxed geometry.

```
YHfTi2
1.0
0.000 3.524 3.524
3.524 0.000 3.524
3.524 3.524 0.000
Ti Y Hf
2 1 1
direct
0.250 0.250 0.250 Ti
0.750 0.750 0.750 Ti
0.000 0.000 0.000 Y
0.500 0.500 0.500 Hf
```

Output
E_form, meV/atom: 288
DOS at the Fermi energy, states/eV per atom: 1.749

***

3.
The following is a DFT calculation (PBE) of crystalline YHfTi2 at its relaxed geometry.

```
YHfTi2
1.0
-3.237 -1.551 -0.308
1.579 -3.126 -0.847
0.184 -1.688 6.575
Ti Hf Y
2 1 1
direct
0.000 0.000 0.202 Ti
0.000 0.000 0.798 Ti
0.500 0.500 0.000 Hf
0.500 0.500 0.500 Y
```

Output
E_form, meV/atom: 159
DOS at the Fermi energy, states/eV per atom: 1.507

***

4.
The following is a DFT calculation (PBE) of crystalline Y3HfTi at its relaxed geometry.

```
Y3HfTi
1.0
5.516 0.000 0.000
0.000 5.516 0.000
0.000 0.000 5.516
Y Hf Ti
3 1 1
direct
0.000 0.500 0.000 Y
0.500 0.000 0.000 Y
0.000 0.000 0.500 Y
0.000 0.000 0.000 Hf
0.500 0.500 0.500 Ti
```

Output
E_form, meV/atom: 1033
DOS at the Fermi energy, states/eV per atom: 1.687

***

- DOS at the Fermi energy of number 2 (YHfTi2)?
  1.749 states/eV per atom

***

- Number 2 is which compound?
  YHfTi2